Below is an optimized crystal structure of Sb2TeRu, with properties calculated at the PBE-GGA level.

a = 5.034 Å, b = 5.034 Å, c = 5.034 Å
α = 120.30°, β = 120.30°, γ = 89.48°
Sites, in units of the cell vectors:
Ru: 0.750 0.250 0.500
Sb: 0.000 0.000 0.000
Sb: 0.250 0.750 0.500
Te: 0.500 0.500 0.000

Calculated values
SG: I-4m2 (119)
Calculated volume, Å³/atom: 22.4
ΔE_f (raw), eV/atom: 0.514

***

Below is an optimized crystal structure of YCuOs2, with properties calculated at the PBE-GGA level.

a = 3.112 Å, b = 4.597 Å, c = 4.609 Å
α = 90.00°, β = 90.00°, γ = 90.00°
Sites, in units of the cell vectors:
Cu: 0.000 0.500 0.500
Os: 0.000 0.000 0.000
Os: 0.500 0.500 0.000
Y: 0.500 0.000 0.500

Calculated values
Energy relative to the lowest polymorph listed for this composition, eV per atom: 0.164
SG: Pmmm (47)
Calculated volume, Å³/atom: 16.5
ΔE_f, meV/atom: 339

***

Below is an optimized crystal structure of NbNiB, with properties calculated at the PBE-GGA level.

a = 5.312 Å, b = 3.053 Å, c = 8.723 Å
α = 90.00°, β = 102.78°, γ = 90.00°
Sites, in units of the cell vectors:
Ni: 0.185 0.000 0.249
Ni: 0.815 0.000 0.751
Ni: 0.185 0.500 0.749
Ni: 0.815 0.500 0.251
Nb: 0.000 0.500 0.000
Nb: 0.000 0.000 0.500
Nb: 0.500 0.500 0.500
Nb: 0.500 0.000 0.000
B: 0.423 0.000 0.703
B: 0.577 0.000 0.297
B: 0.423 0.500 0.203
B: 0.577 0.500 0.797

Calculated values
SG: C2/m (12)
Calculated volume, Å³/atom: 11.5
ΔE_f, meV/atom: -415

***

Below is an optimized crystal structure of Er6IrSe4, with properties calculated at the PBE-GGA level.

a = 3.927 Å, b = 6.930 Å, c = 20.467 Å
α = 90.00°, β = 90.00°, γ = 106.46°
Sites, in units of the cell vectors:
Er: 0.500 0.000 0.000
Er: 0.500 0.000 0.500
Er: 0.069 0.138 0.330
Er: 0.931 0.862 0.670
Er: 0.931 0.862 0.830
Er: 0.069 0.138 0.170
Er: 0.768 0.537 0.400
Er: 0.232 0.463 0.600
Er: 0.232 0.463 0.900
Er: 0.768 0.537 0.100
Er: 0.318 0.637 0.250
Er: 0.682 0.363 0.750
Ir: 0.672 0.344 0.250
Ir: 0.328 0.656 0.750
Se: 0.856 0.712 0.536
Se: 0.419 0.839 0.126
Se: 0.144 0.288 0.464
Se: 0.581 0.161 0.874
Se: 0.856 0.712 0.964
Se: 0.144 0.288 0.036
Se: 0.581 0.161 0.626
Se: 0.419 0.839 0.374

Calculated values
SG: Cmcm (63)
Calculated volume, Å³/atom: 24.3
ΔE_f (raw), eV/atom: -1.453

***

Below is an optimized crystal structure of Be8Pt, with properties calculated at the PBE-GGA level.

a = 5.246 Å, b = 5.246 Å, c = 5.246 Å
α = 95.56°, β = 95.56°, γ = 143.74°
Sites, in units of the cell vectors:
Be: 0.342 0.000 0.342
Be: 0.658 0.000 0.658
Be: 0.000 0.658 0.658
Be: 0.326 0.674 0.000
Be: 0.674 0.674 0.348
Be: 0.000 0.342 0.342
Be: 0.326 0.326 0.652
Be: 0.674 0.326 0.000
Pt: 0.000 0.000 0.000

Calculated values
SG: I4/mmm (139)
Calculated volume, Å³/atom: 9.0
ΔE_f, meV/atom: -165

***

Below is an optimized crystal structure of Pm3Sn, with properties calculated at the PBE-GGA level.

a = 4.917 Å, b = 4.920 Å, c = 4.920 Å
α = 90.00°, β = 90.00°, γ = 90.00°
Sites, in units of the cell vectors:
Sn: 0.500 0.000 0.583
Pm: 0.000 0.000 0.083
Pm: 0.000 0.500 0.583
Pm: 0.500 0.500 0.083

Calculated values
Energy relative to the lowest polymorph listed for this composition, eV per atom: 0.000
SG: Pm-3m (221)
Calculated volume, Å³/atom: 29.8
ΔE_f, meV/atom: -451

***

Below is an optimized crystal structure of HgTe5, with properties calculated at the PBE-GGA level.

a = 8.055 Å, b = 8.055 Å, c = 4.099 Å
α = 90.00°, β = 90.00°, γ = 120.00°
Sites, in units of the cell vectors:
Hg: 0.000 0.000 0.000
Te: 0.333 0.667 0.000
Te: 0.667 0.333 0.000
Te: 0.500 0.000 0.500
Te: 0.000 0.500 0.500
Te: 0.500 0.500 0.500

Calculated values
Energy relative to the lowest polymorph listed for this composition, eV per atom: 0.078
SG: P6/mmm (191)
Calculated volume, Å³/atom: 38.4
ΔE_f (raw), eV/atom: 0.188

***

Below is an optimized crystal structure of Ho5Zn2Au, with properties calculated at the PBE-GGA level.

a = 7.251 Å, b = 7.251 Å, c = 9.217 Å
α = 113.16°, β = 113.16°, γ = 90.00°
Sites, in units of the cell vectors:
Ho: 0.519 0.679 0.698
Ho: 0.821 0.981 0.302
Ho: 0.000 0.000 0.000
Ho: 0.500 0.500 0.000
Ho: 0.179 0.019 0.698
Ho: 0.679 0.179 0.698
Ho: 0.019 0.519 0.698
Ho: 0.321 0.821 0.302
Ho: 0.981 0.481 0.302
Ho: 0.481 0.321 0.302
Zn: 0.122 0.378 0.000
Zn: 0.622 0.122 0.000
Zn: 0.378 0.878 0.000
Zn: 0.878 0.622 0.000
Au: 0.750 0.750 0.500
Au: 0.250 0.250 0.500

Calculated values
SG: I4/mcm (140)
Calculated volume, Å³/atom: 25.2
ΔE_f, meV/atom: -380